Material: Ga3PbBr
Method: DFT, GGA-PBE
State: optimized geometry

Computed properties:
Calculated total energy = -2.4957 eV per atom
Polymorph energy (0 for the lowest one) = 0.082 eV per atom
Density = 5005 kg/m³

The structure in POSCAR format:
```
Ga3PbBr
1.0
-4.3156 3.0316 -1.4920
-0.6843 -3.1542 -4.4299
-3.3089 -3.3017 2.8621
Pb Ga Br
1 3 1
Cartesian
-4.1544 -1.7121 -1.5299 Pb
-0.3422 -1.5771 -2.2149 Ga
-1.6544 -1.6508 1.4310 Ga
-2.1578 1.5158 -0.7460 Ga
0.0000 0.0000 0.0000 Br
```


Material: Fe2Pd8Rh
Method: DFT, GGA-PBE
State: optimized geometry

Computed properties:
Calculated total energy = -5.9007 eV per atom
Calculated formation energy = 0.08 eV per atom
Density = 10389 kg/m³

The structure in POSCAR format:
```
Fe2Pd8Rh
1.0
4.0847 0.1290 -0.0923
-0.2494 6.1130 -2.4018
0.1230 0.7142 6.5325
Rh Fe Pd
1 2 8
Cartesian
-0.0003 0.0210 0.0127 Rh
1.9357 4.1223 0.9992 Fe
2.0217 2.8746 3.0639 Fe
1.9703 2.0018 -0.5052 Pd
2.0698 0.5582 1.8838 Pd
-0.0425 2.2999 1.3915 Pd
4.1124 2.2395 4.1790 Pd
3.9297 4.8895 -0.2064 Pd
3.9999 4.6987 2.6726 Pd
1.8876 6.4400 2.1794 Pd
1.9872 4.9959 4.5694 Pd
```


Material: Rb2CaN
Method: DFT, GGA-PBE
State: optimized geometry

Computed properties:
Calculated total energy = -2.8639 eV per atom
Density = 2061 kg/m³

The structure in POSCAR format:
```
Rb2CaN
1.0
-4.6221 11.4130 2.6234
0.4771 -2.6345 12.3018
0.0534 5.2279 7.5597
Ca Rb N
2 4 2
Cartesian
0.0000 0.0000 0.0000 Ca
-3.3206 10.5150 8.8229 Ca
-1.9465 5.9642 4.5739 Rb
-1.1355 3.2336 10.3999 Rb
-1.4246 6.7173 13.5805 Rb
-3.6765 12.0976 16.4155 Rb
-2.0725 4.3893 7.4626 N
-0.7710 3.4913 13.6620 N
```


Material: PrDyRe4
Method: DFT, GGA-PBE
State: optimized geometry

Computed properties:
Calculated total energy = -9.8827 eV per atom
Calculated formation energy = -0.02 eV per atom
Density = 14990 kg/m³

The structure in POSCAR format:
```
PrDyRe4
1.0
5.4761 0.0000 0.0000
2.7380 4.7424 0.0000
2.7380 1.5808 4.4712
Pr Re Dy
1 4 1
Cartesian
2.7380 1.5808 1.1178 Pr
5.4761 3.1616 0.5573 Re
5.4761 1.5793 2.7950 Re
6.8464 3.9528 2.7950 Re
4.1057 3.9528 2.7950 Re
0.0000 0.0000 0.0000 Dy
```


Material: BaHgO3
Method: DFT, GGA-PBE
State: optimized geometry

Computed properties:
Calculated total energy = -3.4992 eV per atom
Density = 5053 kg/m³

The structure in POSCAR format:
```
BaHgO3
1.0
-0.1299 -0.0883 -5.0218
-4.8995 -1.1030 0.1462
-1.1050 4.9009 -0.0575
Ba Hg O
1 1 3
Cartesian
-3.0672 1.8548 -2.4666 Ba
0.0000 0.0000 0.0000 Hg
-3.0023 1.8990 0.0443 O
-0.6175 2.4063 -2.5397 O
-2.5147 -0.5956 -2.4378 O
```


Material: Cs2MgCl6F
Method: DFT, GGA-PBE
State: optimized geometry

Computed properties:
Calculated total energy = -2.8045 eV per atom
Density = 2896 kg/m³

The structure in POSCAR format:
```
Cs2MgCl6F
1.0
-4.5360 -3.6987 -4.1518
4.5395 0.6310 -5.5216
2.6023 -6.4876 -3.2648
Cs Mg F Cl
2 1 1 6
Cartesian
-0.9660 -5.8601 -6.1267 Cs
3.5717 -3.6953 -6.8116 Cs
0.0000 0.0000 0.0000 Mg
0.0017 -1.5339 -4.8367 F
1.5239 -4.4334 -3.9166 Cl
1.0818 -5.1219 -9.0216 Cl
0.0009 -0.7685 -2.4234 Cl
0.0026 -2.2992 -7.2500 Cl
-2.2624 -2.6140 -4.4950 Cl
2.2658 -0.4537 -5.1785 Cl
```


Number 1: V 32.93 A^3/atom. Number 2: V 15.49 A^3/atom. Number 3: V 45.32 A^3/atom. Number 4: V 19.35 A^3/atom. Number 5: V 25.37 A^3/atom. Number 6: V 29.93 A^3/atom.